La3Pr2Sm4, optimized geometry, DFT GGA-PBE; calculated formation energy = 1.8 kJ per mole of atoms; E above lowest polymorph = 0 meV per atom; space group = P-1; E = -0.3516 Ry per atom
1.0
6.3776 0.0000 0.0000
3.1850 5.5307 0.0000
3.1433 1.8244 9.0479
La Pr Sm
3 2 4
Cartesian
0.0000 0.0000 0.0000
4.2243 3.6680 6.0389
8.4816 3.6872 3.0091
7.4111 5.5134 6.0412
5.2948 1.8418 3.0067
5.3015 5.5295 3.0100
3.1901 1.8329 0.0018
9.5158 5.5222 9.0461
7.4044 1.8256 6.0379

---

DyZn3Pd2, optimized geometry, DFT GGA-PBE; calculated formation energy = -51.5 kJ per mole of atoms; space group = Cmcm; E = -0.2697 Ry per atom
1.0
4.5665 -4.1369 0.0000
4.5665 4.1369 0.0000
0.0000 0.0000 5.6379
Dy Zn Pd
2 6 4
Cartesian
4.5665 2.9427 4.2284
4.5665 -2.9427 1.4095
3.1286 2.2155 1.4095
6.0044 2.2155 1.4095
4.5665 0.0964 1.4095
4.5665 -0.0964 4.2284
3.1286 -2.2155 4.2284
6.0044 -2.2155 4.2284
2.3835 0.0000 0.0000
2.3835 0.0000 2.8189
6.7495 0.0000 0.0000
6.7495 0.0000 2.8189

---

BaCd2Te, optimized geometry, DFT GGA-PBE; energy relative to the elements, uncorrected = -1.72 eV/f.u.; space group = R-3m; E = -0.1584 Ry per atom
1.0
5.1002 0.0000 0.0000
-2.5501 4.4169 0.0000
0.0000 0.0000 18.9043
Ba Cd Te
3 6 3
Cartesian
0.0000 0.0000 0.0000
0.0000 2.9446 12.6029
2.5501 1.4723 6.3014
0.0000 0.0000 4.4436
0.0000 0.0000 14.4607
0.0000 2.9446 8.1593
0.0000 2.9446 17.0465
2.5501 1.4723 1.8578
2.5501 1.4723 10.7451
0.0000 0.0000 9.4522
0.0000 2.9446 3.1507
2.5501 1.4723 15.7536

---

HoScCoRu, optimized geometry, DFT GGA-PBE; calculated formation energy = -34.0 kJ per mole of atoms; E above lowest polymorph = 0 meV per atom; space group = F-43m; E = -0.5273 Ry per atom
1.0
6.5238 0.0000 0.0000
0.0000 6.5238 0.0000
0.0000 0.0000 6.5238
Ho Sc Co Ru
4 4 4 4
Cartesian
0.0000 0.0000 0.0000
0.0000 3.2619 3.2619
3.2619 0.0000 3.2619
3.2619 3.2619 0.0000
0.0000 0.0000 3.2619
0.0000 3.2619 0.0000
3.2619 0.0000 0.0000
3.2619 3.2619 3.2619
1.6310 1.6310 4.8929
1.6310 4.8929 1.6310
4.8929 1.6310 1.6310
4.8929 4.8929 4.8929
1.6310 1.6310 1.6310
1.6310 4.8929 4.8929
4.8929 1.6310 4.8929
4.8929 4.8929 1.6310

---

SrNbInS2, optimized geometry, DFT GGA-PBE; energy relative to the elements, uncorrected = 4.60 eV/f.u.; space group = P4/mmm; E = -0.2667 Ry per atom
1.0
5.1266 0.0000 0.0000
0.0000 5.1266 0.0000
0.0000 0.0000 5.9091
Sr Nb In S
1 1 1 2
Cartesian
0.0000 0.0000 0.0000
2.5633 2.5633 0.0000
0.0000 0.0000 2.9545
0.0000 2.5633 2.9545
2.5633 0.0000 2.9545

---

Ce6Tl3Co, optimized geometry, DFT GGA-PBE; calculated formation energy = -7.7 kJ per mole of atoms; space group = C2/m; E = -0.3720 Ry per atom
1.0
5.2613 -3.3428 0.0000
5.2613 3.3428 0.0000
-2.0308 0.0000 7.9415
Ce Tl Co
6 3 1
Cartesian
2.7658 1.9107 4.9506
5.7261 1.9107 2.9909
3.4208 0.0000 1.1293
5.0710 0.0000 6.8122
2.7658 -1.9107 4.9506
5.7261 -1.9107 2.9909
0.0000 0.0000 0.0000
0.3885 0.0000 5.9797
8.1034 0.0000 1.9618
4.2459 0.0000 3.9707